This record from the Alexandria database describes a relaxed structure of BaCdNi2. The functional is PBE.

Values from the calculation:
Density of states at the Fermi level   1.233 states/eV/atom
Energy of formation   0.89 eV per formula unit
Raw total energy   -3.377 eV/atom

Unit cell a=3.322 b=3.321 c=7.648 alpha=90.00 beta=90.00 gamma=90.00
Fractional coordinates of all 4 atoms:
Ni (0.000, 0.000, 0.060)
Ni (0.500, 0.500, 0.160)
Cd (0.500, 0.500, 0.824)
Ba (0.000, 0.000, 0.456)